Entry from Alexandria: a PBEsol-optimized structure of Al2GaO (SCAN).

- SG: Fm-3m, No. 225

Structure (POSCAR):
```
Al2GaO
1.0
0.0000 3.0329 3.0329
3.0329 0.0000 3.0329
3.0329 3.0329 0.0000
Al Ga O
2 1 1
direct
0.2500 0.2500 0.2500 Al
0.7500 0.7500 0.7500 Al
0.0000 0.0000 0.0000 Ga
0.5000 0.5000 0.5000 O
```



Entry from Alexandria: a PBEsol-optimized structure of Al3GaO (SCAN).

- SG: Pm-3m, No. 221

Structure (POSCAR):
```
Al3GaO
1.0
4.6852 0.0000 0.0000
0.0000 4.6852 0.0000
0.0000 0.0000 4.6852
Al Ga O
3 1 1
direct
0.0000 0.0000 0.5000 Al
0.0000 0.5000 0.0000 Al
0.5000 0.0000 0.0000 Al
0.0000 0.0000 0.0000 Ga
0.5000 0.5000 0.5000 O
```



Q: Which magnetic moment values were calculated for the entries above? A: 0.94; 0.00, in μB per formula unit.
Q: Which E values were calculated for the entries above? A: -37.82; -41.70, in eV/cell.